VASP calculation (PBE) on a relaxed structure of Ca2MgBe.

Fermi-level density of states in states/eV/atom: 0.76
Raw total energy in eV for the cell shown: -33.69
Size of the total moment in μB/cell: 0.0

abc: 7.486 7.486 7.486
angles: 90.00 90.00 90.00
Space group Fm-3m (No. 225)
One atom of each set of equivalent atoms:
Ca  0.250  0.250  0.250
Mg  0.000  0.000  0.000
Be  0.000  0.000  0.500

=====

VASP calculation (PBE) on a relaxed structure of NaSrAc2Se4.

Fermi-level density of states in states/eV/atom: 0.38
Formation energy without anion corrections in eV per atom: -1.8305
Size of the total moment in μB/cell: 0.0

abc: 7.681 4.460 7.696
angles: 90.00 109.56 90.00
Space group P2/m (No. 10)
One atom of each set of equivalent atoms:
Na  0.000  0.000  0.000
Sr  0.000  0.500  0.500
Ac  0.500  0.000  0.500
Ac  0.500  0.500  0.000
Se  0.248  0.000  0.751
Se  0.250  0.500  0.250